TbSm6Dy4 | PBE | optimized geometry

Structure (POSCAR):
```
TbSm6Dy4
1.0
-3.759 3.759 6.777
3.759 -3.759 6.777
3.759 3.759 -6.777
Tb Sm Dy
1 6 4
Direct
0.000 0.000 0.000
0.000 0.500 0.500
0.041 0.584 0.000
0.416 0.416 0.457
0.500 0.000 0.500
0.584 0.041 0.000
0.959 0.959 0.543
0.254 0.254 0.669
0.415 0.746 0.000
0.585 0.585 0.331
0.746 0.415 0.000
```

Results
Fermi-level density of states (states/eV per atom): 1.317
Polymorph energy (0 for the lowest one) (meV per atom): 266.0
DFT total energy (eV per cell): -47.1
Space group: I-42m, No. 121



TbSm3Dy6 | PBE | optimized geometry

Structure (POSCAR):
```
TbSm3Dy6
1.0
5.499 -9.481 0.000
5.499 9.481 0.000
0.000 0.000 6.275
Tb Sm Dy
2 6 12
Direct
0.201 0.799 0.500
0.799 0.201 0.000
0.061 0.284 0.675
0.284 0.061 0.175
0.389 0.611 0.565
0.611 0.389 0.065
0.716 0.939 0.675
0.939 0.716 0.175
0.043 0.957 0.741
0.047 0.466 0.267
0.277 0.723 0.990
0.289 0.380 0.093
0.380 0.289 0.593
0.466 0.047 0.767
0.534 0.953 0.267
0.620 0.711 0.093
0.711 0.620 0.593
0.723 0.277 0.490
0.953 0.534 0.767
0.957 0.043 0.241
```

Results
Fermi-level density of states (states/eV per atom): 1.423
Polymorph energy (0 for the lowest one) (meV per atom): 0.0
DFT total energy (eV per cell): -89.8
Space group: Cmc2_1, No. 36



Tb4Sm6Dy | PBE | optimized geometry

Structure (POSCAR):
```
Tb4Sm6Dy
1.0
-3.769 3.769 6.760
3.769 -3.769 6.760
3.769 3.769 -6.760
Tb Sm Dy
4 6 1
Direct
0.253 0.253 0.666
0.413 0.747 0.000
0.587 0.587 0.334
0.747 0.413 0.000
0.000 0.500 0.500
0.041 0.584 0.000
0.416 0.416 0.457
0.500 0.000 0.500
0.584 0.041 0.000
0.959 0.959 0.543
0.000 0.000 0.000
```

Results
Fermi-level density of states (states/eV per atom): 1.240
Polymorph energy (0 for the lowest one) (meV per atom): 266.5
DFT total energy (eV per cell): -47.2
Space group: I-42m, No. 121



Tb12SmDy2 | PBE | optimized geometry

Structure (POSCAR):
```
Tb12SmDy2
1.0
3.562 -5.601 0.000
3.562 5.601 0.000
-1.770 0.000 24.349
Tb Sm Dy
24 2 4
Direct
0.055 0.546 0.202
0.080 0.587 0.330
0.135 0.641 0.555
0.146 0.146 0.572
0.214 0.214 0.860
0.232 0.732 0.926
0.268 0.768 0.074
0.284 0.284 0.135
0.359 0.865 0.445
0.360 0.360 0.423
0.413 0.920 0.670
0.454 0.945 0.798
0.546 0.055 0.202
0.587 0.080 0.330
0.640 0.640 0.577
0.641 0.135 0.555
0.716 0.716 0.865
0.732 0.232 0.926
0.768 0.268 0.074
0.786 0.786 0.140
0.854 0.854 0.428
0.865 0.359 0.445
0.920 0.413 0.670
0.945 0.454 0.798
0.249 0.249 0.998
0.751 0.751 0.002
0.072 0.072 0.273
0.435 0.435 0.728
0.565 0.565 0.272
0.928 0.928 0.727
```

Results
Fermi-level density of states (states/eV per atom): 1.563
DFT total energy (eV per cell): -135.6
Space group: C2/m, No. 12



Tb16Sm7Dy6 | PBE | optimized geometry

Structure (POSCAR):
```
Tb16Sm7Dy6
1.0
0.000 7.908 7.908
7.908 0.000 7.908
7.908 7.908 0.000
Tb Sm Dy
16 7 6
Direct
0.047 0.651 0.651
0.126 0.126 0.126
0.126 0.126 0.623
0.126 0.623 0.126
0.349 0.349 0.349
0.349 0.349 0.953
0.349 0.953 0.349
0.377 0.874 0.874
0.623 0.126 0.126
0.651 0.047 0.651
0.651 0.651 0.047
0.651 0.651 0.651
0.874 0.377 0.874
0.874 0.874 0.377
0.874 0.874 0.874
0.953 0.349 0.349
0.000 0.000 0.000
0.000 0.000 0.500
0.000 0.500 0.000
0.000 0.500 0.500
0.500 0.000 0.000
0.500 0.000 0.500
0.500 0.500 0.000
0.268 0.268 0.732
0.268 0.732 0.268
0.268 0.732 0.732
0.732 0.268 0.268
0.732 0.268 0.732
0.732 0.732 0.268
```

Results
Fermi-level density of states (states/eV per atom): 1.900
DFT total energy (eV per cell): -127.5
Space group: Fm-3m, No. 225



Tb5Sm2Dy3 | PBE | optimized geometry

Structure (POSCAR):
```
Tb5Sm2Dy3
1.0
-4.680 10.856 3.403
4.680 -10.856 3.403
4.680 10.856 -3.403
Tb Sm Dy
10 4 6
Direct
0.000 0.250 0.750
0.000 0.750 0.250
0.125 0.092 0.217
0.250 0.250 0.000
0.375 0.592 0.967
0.500 0.250 0.250
0.500 0.750 0.750
0.625 0.408 0.033
0.750 0.750 0.000
0.875 0.908 0.783
0.125 0.401 0.526
0.375 0.901 0.276
0.625 0.099 0.724
0.875 0.599 0.474
0.124 0.750 0.874
0.250 0.750 0.500
0.376 0.250 0.626
0.624 0.750 0.374
0.750 0.250 0.500
0.876 0.250 0.126
```

Results
Fermi-level density of states (states/eV per atom): 1.520
Polymorph energy (0 for the lowest one) (meV per atom): 203.2
DFT total energy (eV per cell): -84.8
Space group: Ibam, No. 72



Tb12Sm2Dy | PBE | optimized geometry

Structure (POSCAR):
```
Tb12Sm2Dy
1.0
3.557 -5.624 0.000
3.557 5.624 0.000
-1.771 0.000 24.418
Tb Sm Dy
24 4 2
Direct
0.050 0.550 0.200
0.083 0.583 0.330
0.137 0.638 0.555
0.143 0.143 0.573
0.216 0.216 0.864
0.232 0.732 0.927
0.268 0.768 0.073
0.284 0.284 0.136
0.358 0.358 0.426
0.362 0.863 0.445
0.417 0.917 0.670
0.450 0.950 0.800
0.550 0.050 0.200
0.583 0.083 0.330
0.638 0.137 0.555
0.642 0.642 0.574
0.716 0.716 0.864
0.732 0.232 0.927
0.768 0.268 0.073
0.784 0.784 0.136
0.857 0.857 0.427
0.863 0.362 0.445
0.917 0.417 0.670
0.950 0.450 0.800
0.068 0.068 0.272
0.432 0.432 0.728
0.568 0.568 0.272
0.932 0.932 0.728
0.250 0.250 0.000
0.750 0.750 0.000
```

Results
Fermi-level density of states (states/eV per atom): 1.523
DFT total energy (eV per cell): -135.8
Space group: C2/m, No. 12



Tb3Sm5Dy | PBE | optimized geometry

Structure (POSCAR):
```
Tb3Sm5Dy
1.0
7.613 -5.816 0.000
7.613 5.816 0.000
-6.305 0.000 7.594
Tb Sm Dy
6 10 2
Direct
0.000 0.000 0.000
0.008 0.008 0.322
0.485 0.485 0.147
0.500 0.500 0.500
0.515 0.515 0.853
0.992 0.992 0.678
0.100 0.604 0.759
0.227 0.227 0.734
0.246 0.754 0.500
0.275 0.275 0.453
0.396 0.900 0.241
0.604 0.100 0.759
0.725 0.725 0.547
0.754 0.246 0.500
0.773 0.773 0.266
0.900 0.396 0.241
0.249 0.249 0.093
0.751 0.751 0.907
```

Results
Fermi-level density of states (states/eV per atom): 1.487
Polymorph energy (0 for the lowest one) (meV per atom): 324.5
DFT total energy (eV per cell): -75.3
Space group: C2/m, No. 12



Q: Fermi-level density of states of number 2 (TbSm3Dy6)?
A: 1.423 states/eV per atom